No. 1
VASP calculation (PBE) on an optimized crystal structure of MoBrCl2.

POSCAR file:
```
MoBrCl2
1.0
4.443 0.000 0.000
0.000 4.443 0.000
0.000 0.000 4.333
Mo Br Cl
1 1 2
direct
0.000 0.000 0.000
0.500 0.500 0.000
0.000 0.500 0.500
0.500 0.000 0.500
```

The total magnetization comes out at 0.78 μB per atom. As for the energy relative to the elements, uncorrected: 257.4 kJ/mol of formula units. The space-group type is No. 123.

No. 2
VASP calculation (PBE) on an optimized crystal structure of MoBr2Cl.

POSCAR file:
```
MoBr2Cl
1.0
4.920 0.000 0.000
0.000 4.920 0.000
0.000 0.000 3.776
Mo Br Cl
1 2 1
direct
0.000 0.000 0.000
0.000 0.500 0.500
0.500 0.000 0.500
0.500 0.500 0.000
```

The total magnetization comes out at 0.76 μB per atom. As for the energy relative to the elements, uncorrected: 282.8 kJ/mol of formula units. The space-group type is No. 123.

Number 1: DOS at the Fermi energy 4.53 states/eV per cell, energy above the lowest structure with this stoichiometry 1278 meV/atom. Number 2: DOS at the Fermi energy 3.52 states/eV per cell, energy above the lowest structure with this stoichiometry 1239 meV/atom.